Record 1
Ag5Se3, relaxed, DFT PBE-GGA; formation energy (no corrections) = 0.03 eV/atom; energy relative to the lowest polymorph listed for this composition = 0.41 eV per formula unit; D(E_F) = 5.65 states/eV/cell; total moment = 0.00 μB/cell; raw total energy = -3.062 eV per atom
1.0
-1.780 -4.295 -4.108
5.892 1.070 -1.619
1.286 -3.071 2.653
Ag Se
5 3
direct
0.724 0.724 0.500 Ag
0.500 0.000 0.000 Ag
0.000 0.000 0.000 Ag
0.276 0.276 0.500 Ag
0.000 0.500 0.000 Ag
0.806 0.194 0.500 Se
0.194 0.806 0.500 Se
0.500 0.500 0.000 Se

---

Record 2
AgSe2, relaxed, DFT PBE-GGA; formation energy (no corrections) = 0.10 eV/atom; D(E_F) = 4.85 states/eV/cell; total moment = 0.00 μB/cell; raw total energy = -3.178 eV per atom
1.0
4.641 -3.130 0.426
-2.744 -1.853 4.534
-2.789 -0.558 -4.841
Se Ag
4 2
direct
0.363 0.137 0.500 Se
0.137 0.637 0.774 Se
0.863 0.363 0.226 Se
0.637 0.863 0.500 Se
0.250 0.250 0.000 Ag
0.750 0.750 0.000 Ag

---

Record 3
AgSe2, relaxed, DFT PBE-GGA; formation energy (no corrections) = 0.51 eV/atom; D(E_F) = 2.33 states/eV/cell; total moment = 0.00 μB/cell; raw total energy = -2.762 eV per atom
1.0
0.151 -4.551 3.531
-0.189 0.774 5.707
-4.709 -1.509 2.957
Se Ag
4 2
direct
0.125 0.125 0.625 Se
0.125 0.125 0.125 Se
0.625 0.125 0.125 Se
0.125 0.625 0.125 Se
0.750 0.750 0.750 Ag
0.500 0.500 0.500 Ag

---

Record 4
Ag3Se, relaxed, DFT PBE-GGA; formation energy (no corrections) = 0.39 eV/atom; D(E_F) = 1.94 states/eV/cell; total moment = 0.00 μB/cell; raw total energy = -2.624 eV per atom
1.0
-2.839 -2.540 -3.556
0.511 -4.405 2.737
-4.340 1.142 2.649
Se Ag
1 3
direct
0.000 0.000 0.000 Se
0.000 0.000 0.500 Ag
0.500 0.000 0.000 Ag
0.000 0.500 0.000 Ag

---

Record 5
Ag3Se5, relaxed, DFT PBE-GGA; formation energy (no corrections) = 0.26 eV/atom; energy relative to the lowest polymorph listed for this composition = 1.75 eV per formula unit; D(E_F) = 15.43 states/eV/cell; total moment = 0.00 μB/cell; raw total energy = -2.990 eV per atom
1.0
-7.707 5.713 2.585
-1.348 -9.701 -1.671
0.898 -0.946 4.769
Se Ag
10 6
direct
0.667 0.333 0.500 Se
0.300 0.300 0.750 Se
0.333 0.667 0.000 Se
0.300 0.000 0.250 Se
0.667 0.333 0.000 Se
0.700 0.700 0.250 Se
0.000 0.700 0.750 Se
0.000 0.300 0.250 Se
0.700 0.000 0.750 Se
0.333 0.667 0.500 Se
0.203 0.000 0.750 Ag
0.797 0.797 0.750 Ag
0.000 0.797 0.250 Ag
0.000 0.203 0.750 Ag
0.203 0.203 0.250 Ag
0.797 0.000 0.250 Ag

---

Record 6
AgSe8, relaxed, DFT PBE-GGA; formation energy (no corrections) = 0.23 eV/atom; D(E_F) = 7.71 states/eV/cell; total moment = 0.00 μB/cell; raw total energy = -3.180 eV per atom
1.0
-3.962 3.962 4.118
3.962 -3.962 4.118
3.962 3.962 -4.118
Se Ag
8 1
direct
0.339 0.661 0.000 Se
0.000 0.336 0.336 Se
0.336 0.000 0.336 Se
0.000 0.664 0.664 Se
0.661 0.339 0.000 Se
0.664 0.000 0.664 Se
0.339 0.339 0.678 Se
0.661 0.661 0.322 Se
0.000 0.000 0.000 Ag

---

Record 7
Ag3Se, relaxed, DFT PBE-GGA; formation energy (no corrections) = 0.10 eV/atom; D(E_F) = 0.98 states/eV/cell; total moment = 0.00 μB/cell; raw total energy = -2.907 eV per atom
1.0
4.933 0.044 -0.032
4.064 2.797 -0.032
0.698 0.221 5.650
Se Ag
1 3
direct
0.000 0.000 0.000 Se
0.753 0.753 0.733 Ag
0.500 0.500 0.500 Ag
0.247 0.247 0.267 Ag

---

Record 8
Ag3Se5, relaxed, DFT PBE-GGA; formation energy (no corrections) = 0.04 eV/atom; energy relative to the lowest polymorph listed for this composition = 0.00 eV per formula unit; D(E_F) = 5.62 states/eV/cell; total moment = 0.00 μB/cell; raw total energy = -3.209 eV per atom
1.0
8.341 -0.013 -0.021
3.652 8.036 -0.011
2.329 0.699 5.924
Se Ag
10 6
direct
0.039 0.281 0.197 Se
0.102 0.568 0.128 Se
0.656 0.154 0.659 Se
0.925 0.032 0.340 Se
0.628 0.433 0.641 Se
0.813 0.652 0.842 Se
0.907 0.353 0.865 Se
0.509 0.965 0.274 Se
0.327 0.455 0.336 Se
0.160 0.929 0.786 Se
0.224 0.643 0.655 Ag
0.235 0.190 0.551 Ag
0.787 0.736 0.423 Ag
0.554 0.637 0.259 Ag
0.329 0.938 0.039 Ag
0.805 0.025 0.005 Ag

---

Record 9
AgSe2, relaxed, DFT PBE-GGA; formation energy (no corrections) = 0.21 eV/atom; D(E_F) = 2.16 states/eV/cell; total moment = 0.00 μB/cell; raw total energy = -3.062 eV per atom
1.0
-2.045 6.208 5.479
-5.453 5.644 3.341
3.134 -7.317 -3.063
Se Ag
2 1
direct
0.136 0.136 0.000 Se
0.864 0.864 0.000 Se
0.500 0.500 0.000 Ag

---

Record 10
Ag5Se3, relaxed, DFT PBE-GGA; formation energy (no corrections) = 0.04 eV/atom; energy relative to the lowest polymorph listed for this composition = 0.48 eV per formula unit; D(E_F) = 9.76 states/eV/cell; total moment = 0.00 μB/cell; raw total energy = -3.054 eV per atom
1.0
8.018 0.000 0.000
-4.009 6.944 0.000
0.000 0.000 5.994
Ag Se
10 6
direct
0.787 0.787 0.250 Ag
0.333 0.667 0.500 Ag
0.667 0.333 0.000 Ag
0.667 0.333 0.500 Ag
0.000 0.787 0.750 Ag
0.333 0.667 0.000 Ag
0.213 0.213 0.750 Ag
0.213 0.000 0.250 Ag
0.787 0.000 0.750 Ag
0.000 0.213 0.250 Ag
0.000 0.623 0.250 Se
0.623 0.000 0.250 Se
0.623 0.623 0.750 Se
0.377 0.000 0.750 Se
0.000 0.377 0.750 Se
0.377 0.377 0.250 Se

---

Record 11
Ag3Se, relaxed, DFT PBE-GGA; formation energy (no corrections) = 0.06 eV/atom; D(E_F) = 1.86 states/eV/cell; total moment = 0.00 μB/cell; raw total energy = -2.949 eV per atom
1.0
5.204 0.000 0.000
1.779 4.890 0.000
-3.491 -2.445 2.985
Ag Se
3 1
direct
0.500 0.500 0.000 Ag
0.750 0.250 0.500 Ag
0.250 0.750 0.500 Ag
0.000 0.000 0.000 Se

---

Record 12
AgSe2, relaxed, DFT PBE-GGA; formation energy (no corrections) = 0.28 eV/atom; D(E_F) = 1.74 states/eV/cell; total moment = 0.00 μB/cell; raw total energy = -2.993 eV per atom
1.0
-3.766 0.236 -3.656
3.647 -0.255 -3.773
-0.177 -2.664 0.010
Se Ag
2 1
direct
0.000 0.500 0.500 Se
0.500 0.000 0.500 Se
0.000 0.000 0.000 Ag

---

Question: Among the records above, which one has the lowest D(E_F)?
Answer: number 7